DFT (PBE) results for Sc5In2TcIr2 after structural relaxation.

- Formation energy from the elements: -491 meV/atom
- Space-group type: P4/mbm
- Density: 7.62 g cm⁻³
- Final energy: -7.0131 eV per atom

Cell: 3.250 11.208 11.208 Å, 90.00 90.00 90.00°
Element x y z (fractional)
Sc: 0.500 0.191 0.060
Sc: 0.500 0.809 0.940
Sc: 0.500 0.060 0.809
Sc: 0.500 0.691 0.440
Sc: 0.500 0.940 0.191
Sc: 0.500 0.309 0.560
Sc: 0.500 0.560 0.691
Sc: 0.500 0.440 0.309
Sc: 0.500 0.500 0.000
Sc: 0.500 0.000 0.500
In: 0.000 0.677 0.177
In: 0.000 0.323 0.823
In: 0.000 0.177 0.323
In: 0.000 0.823 0.677
Tc: 0.000 0.000 0.000
Tc: 0.000 0.500 0.500
Ir: 0.000 0.135 0.635
Ir: 0.000 0.865 0.365
Ir: 0.000 0.635 0.865
Ir: 0.000 0.365 0.135



DFT (PBE) results for Y5Rh2 after structural relaxation.

- Formation energy from the elements: -580 meV/atom
- Space-group type: C2/c
- Density: 5.81 g cm⁻³
- Final energy: -7.2977 eV per atom

Cell: 6.452 7.188 8.703 Å, 96.69 111.76 90.00°
Element x y z (fractional)
Y: 0.206 0.418 0.189
Y: 0.017 0.082 0.811
Y: 0.211 0.687 0.563
Y: 0.648 0.813 0.437
Y: 0.789 0.313 0.437
Y: 0.352 0.187 0.563
Y: 0.983 0.918 0.189
Y: 0.794 0.582 0.811
Y: 0.574 0.250 0.000
Y: 0.426 0.750 0.000
Rh: 0.180 0.426 0.778
Rh: 0.402 0.074 0.222
Rh: 0.820 0.574 0.222
Rh: 0.598 0.926 0.778



DFT (PBE) results for LiHgBr2 after structural relaxation.

- Space-group type: I-42d
- Raw formation energy: -772 meV/atom
- Density: 4.66 g cm⁻³
- Energy above the most stable polymorph in this dataset: 0.028 eV/atom
- Final energy: -2.1622 eV per atom

Cell: 6.434 6.434 7.793 Å, 65.62 65.62 90.00°
Element x y z (fractional)
Hg: 0.000 0.000 0.000
Hg: 0.750 0.250 0.500
Br: 0.569 0.125 0.250
Br: 0.181 0.625 0.250
Br: 0.375 0.431 0.750
Br: 0.875 0.819 0.750
Li: 0.500 0.500 0.000
Li: 0.250 0.750 0.500



DFT (PBE) results for Tb2GeAs after structural relaxation.

- Formation energy from the elements: -957 meV/atom
- Space-group type: R3m
- Density: 7.51 g cm⁻³
- Energy above the most stable polymorph in this dataset: 0.241 eV/atom
- Final energy: -5.5884 eV per atom

Cell: 3.995 3.995 7.790 Å, 75.14 75.14 60.00°
Element x y z (fractional)
Tb: 0.084 0.084 0.747
Tb: 0.249 0.249 0.253
Ge: 0.668 0.668 0.995
As: 0.499 0.499 0.504



DFT (PBE) results for La2RhPb after structural relaxation.

- Formation energy from the elements: -261 meV/atom
- Space-group type: P4mm
- Density: 9.12 g cm⁻³
- Final energy: -5.4901 eV per atom

Cell: 3.690 3.690 7.856 Å, 90.00 90.00 90.00°
Element x y z (fractional)
La: 0.000 0.000 0.947
La: 0.500 0.500 0.246
Rh: 0.500 0.500 0.771
Pb: 0.000 0.000 0.536



DFT (PBE) results for CaSnP3 after structural relaxation.

- Formation energy from the elements: 901 meV/atom
- Space-group type: Pm-3m
- Density: 3.05 g cm⁻³
- Energy above the most stable polymorph in this dataset: 0.482 eV/atom
- Final energy: -3.5458 eV per atom

Cell: 5.157 5.157 5.157 Å, 90.00 90.00 90.00°
Element x y z (fractional)
P: 0.000 0.500 0.000
P: 0.000 0.000 0.500
P: 0.500 0.000 0.000
Ca: 0.000 0.000 0.000
Sn: 0.500 0.500 0.500